Entry from Alexandria: a relaxed structure of K4Zr3TiSe8 (PBE).

```
16
Lattice="7.813 0.000 0.000 0.000 8.946 0.801 -3.906 -3.908 5.525" Properties=species:S:1:pos:R:3 pbc="T T T"
Se 3.906 0.578 3.224
Zr 1.953 2.519 3.163
Zr 3.906 4.473 0.401
Se 1.917 2.567 0.409
K 3.906 0.000 0.000
Se 5.896 2.567 0.409
Se 3.906 4.471 3.163
Se 1.990 2.471 5.917
Ti 0.000 4.473 0.401
Se -1.990 2.471 5.917
K 1.953 -1.954 2.763
Se 0.000 4.460 3.102
K -1.953 -1.954 2.763
K 0.000 0.000 0.000
Zr -1.953 2.519 3.163
Se 0.000 0.567 3.163
```

## Properties
Total magnetic moment   1.52 Bohr magnetons per cell
Density of states at the Fermi level   0.58 states/eV/atom
Raw formation energy   -1.300 eV per atom
E_tot   -5.413 eV per atom